# 1
Here is a relaxed structure of P2PbAu from Alexandria via LeMat-Bulk. Energies are from GGA-PBE.

abc: 5.1040 5.1040 5.1040
angles: 130.79 109.77 90.48
With the nearest neighbours (Å) after each atom.
Fractional positions:
P: 0.1748 0.1748 0.0000  2 Au 2.47, 1 P 2.51
P: 0.8252 0.8252 0.0000  2 Au 2.47, 1 P 2.51
Pb: 0.5000 0.0000 0.5000  8 P 3.16-3.19
Au: 0.0000 0.5000 0.5000  4 P 2.47

Output
E_form (kJ/mol of formula units): 118.4
Total DFT energy (no corrections) (eV/atom): -4.144

# 2
Here is a relaxed structure of P2PbAu2 from Alexandria via LeMat-Bulk. Energies are from GGA-PBE.

abc: 7.8725 7.8725 3.2111
angles: 90.00 90.00 90.00
With the nearest neighbours (Å) after each atom.
Fractional positions:
P: 0.1799 0.3201 0.0000  6 Au 2.65-2.95
P: 0.3201 0.8201 0.0000  6 Au 2.65-2.95
P: 0.6799 0.1799 0.0000  6 Au 2.65-2.95
P: 0.8201 0.6799 0.0000  6 Au 2.65-2.95
Pb: 0.0000 0.0000 0.5000  4 Au 3.08, 2 Pb 3.21, 8 P 3.31
Pb: 0.5000 0.5000 0.5000  4 Au 3.08, 2 Pb 3.21, 8 P 3.31
Au: 0.1306 0.6306 0.5000  6 P 2.65-2.95, 1 Au 2.91
Au: 0.3694 0.1306 0.5000  6 P 2.65-2.95, 1 Au 2.91
Au: 0.6306 0.8694 0.5000  6 P 2.65-2.95, 1 Au 2.91
Au: 0.8694 0.3694 0.5000  6 P 2.65-2.95, 1 Au 2.91

Output
ΔE to the lowest computed polymorph (meV per atom): 501
E_form (kJ/mol of formula units): 179.2
Total DFT energy (no corrections) (eV/atom): -3.845

# 3
Here is a relaxed structure of PPb3Au from Alexandria via LeMat-Bulk. Energies are from GGA-PBE.

abc: 5.4839 5.4839 5.4839
angles: 90.00 90.00 90.00
With the nearest neighbours (Å) after each atom.
Fractional positions:
P: 0.0000 0.0000 0.0000  12 Pb 3.88
Pb: 0.0000 0.5000 0.5000  2 Au 2.74
Pb: 0.5000 0.0000 0.5000  2 Au 2.74
Pb: 0.5000 0.5000 0.0000  2 Au 2.74
Au: 0.5000 0.5000 0.5000  6 Pb 2.74

Output
ΔE to the lowest computed polymorph (meV per atom): 106
E_form (kJ/mol of formula units): 291.9
Total DFT energy (no corrections) (eV/atom): -3.357

# 4
Here is a relaxed structure of PPb2Au from Alexandria via LeMat-Bulk. Energies are from GGA-PBE.

abc: 5.1603 5.1603 5.1603
angles: 60.00 60.00 60.00
With the nearest neighbours (Å) after each atom.
Fractional positions:
P: 0.0000 0.0000 0.0000  4 Pb 3.16, 4 Au 3.16
Pb: 0.2500 0.2500 0.2500  4 Pb 3.16, 4 P 3.16
Pb: 0.5000 0.5000 0.5000  4 Pb 3.16, 4 Au 3.16
Au: 0.7500 0.7500 0.7500  4 Pb 3.16, 4 P 3.16

Output
E_form (kJ/mol of formula units): 150.7
Total DFT energy (no corrections) (eV/atom): -3.636

# 5
Here is a relaxed structure of P2Pb2Au from Alexandria via LeMat-Bulk. Energies are from GGA-PBE.

abc: 7.2539 7.2539 4.4794
angles: 90.00 90.00 90.00
With the nearest neighbours (Å) after each atom.
Fractional positions:
P: 0.1726 0.3274 0.0000  2 Au 2.68, 2 Pb 2.84
P: 0.3274 0.8274 0.0000  2 Au 2.68, 2 Pb 2.84
P: 0.6726 0.1726 0.0000  2 Au 2.68, 2 Pb 2.84
P: 0.8274 0.6726 0.0000  2 Au 2.68, 2 Pb 2.84
Pb: 0.1567 0.6567 0.5000  2 P 2.84
Pb: 0.3433 0.1567 0.5000  2 P 2.84
Pb: 0.6567 0.8433 0.5000  2 P 2.84
Pb: 0.8433 0.3433 0.5000  2 P 2.84
Au: 0.0000 0.0000 0.0000  4 P 2.68
Au: 0.5000 0.5000 0.0000  4 P 2.68

Output
ΔE to the lowest computed polymorph (meV per atom): 118
E_form (kJ/mol of formula units): 126.1
Total DFT energy (no corrections) (eV/atom): -4.041

# 6
Here is a relaxed structure of P2PbAu from Alexandria via LeMat-Bulk. Energies are from GGA-PBE.

abc: 6.7463 6.7463 6.7463
angles: 33.56 33.56 33.56
With the nearest neighbours (Å) after each atom.
Fractional positions:
P: 0.2323 0.2323 0.2323  3 Au 2.57
P: 0.7677 0.7677 0.7677  3 Au 2.57
Pb: 0.0000 0.0000 0.0000  6 P 2.96
Au: 0.5000 0.5000 0.5000  6 P 2.57

Output
E_form (kJ/mol of formula units): 74.0
Total DFT energy (no corrections) (eV/atom): -4.260

# 7
Here is a relaxed structure of P2PbAu2 from Alexandria via LeMat-Bulk. Energies are from GGA-PBE.

abc: 6.5878 6.5878 6.5878
angles: 142.98 142.98 53.36
With the nearest neighbours (Å) after each atom.
Fractional positions:
P: 0.2500 0.7500 0.5000  4 Au 2.60
P: 0.7500 0.2500 0.5000  4 Au 2.60
Pb: 0.0000 0.0000 0.0000  8 Au 3.27, 8 P 3.61
Au: 0.3817 0.3817 0.0000  4 P 2.60, 1 Au 2.78
Au: 0.6183 0.6183 0.0000  4 P 2.60, 1 Au 2.78

Output
ΔE to the lowest computed polymorph (meV per atom): 357
E_form (kJ/mol of formula units): 109.9
Total DFT energy (no corrections) (eV/atom): -3.989

# 8
Here is a relaxed structure of PPb2Au from Alexandria via LeMat-Bulk. Energies are from GGA-PBE.

abc: 7.6601 7.6601 7.6601
angles: 30.93 30.93 30.93
With the nearest neighbours (Å) after each atom.
Fractional positions:
P: 0.0000 0.0000 0.0000  6 Pb 2.86-2.92
Pb: 0.4077 0.4077 0.4077  3 P 2.86, 3 Au 3.12
Pb: 0.5880 0.5880 0.5880  3 P 2.92, 3 Au 3.03
Au: 0.1677 0.1677 0.1677  6 Pb 3.03-3.12

Output
E_form (kJ/mol of formula units): 30.7
Total DFT energy (no corrections) (eV/atom): -3.946